VASP calculation (PBE+U) on a relaxed Hf2ScVF crystal.

Its calculated total energy is -6.26 eV/atom.

It has space group P4/mmm (No. 123), with a = 4.932 Å, b = 4.932 Å, c = 5.156 Å, α = 90.00°, β = 90.00° and γ = 90.00°. The inequivalent atoms are Hf at (0.000, 0.500, 0.000), Sc at (0.000, 0.000, 0.500), V at (0.000, 0.000, 0.000) and F at (0.500, 0.500, 0.500).